(1)
Density functional theory data (GGA-PBE) for a geometry-optimized HoGeBi structure.

Results
density of states at the Fermi level = 1.6 states/eV/f.u.
symmetry = P3m1 (156)
energy above the lowest structure with this stoichiometry = 0.346 eV per atom
energy of formation = -0.60 eV per formula unit

POSCAR file:
```
HoGeBi
1.0
4.8342 0.0000 0.0000
-2.4171 4.1866 0.0000
0.0000 0.0000 4.0441
Ho Ge Bi
1 1 1
Cartesian
0.0000 0.0000 0.0000 Ho
2.4171 1.3955 2.9100 Ge
0.0000 2.7910 1.8798 Bi
```


(2)
Density functional theory data (GGA-PBE) for a geometry-optimized HoGeBi2 structure.

Results
density of states at the Fermi level = 2.6 states/eV/f.u.
symmetry = P4/mmm (123)
energy of formation = -1.00 eV per formula unit

POSCAR file:
```
HoGeBi2
1.0
4.8302 0.0000 0.0000
0.0000 4.8302 0.0000
0.0000 0.0000 4.6374
Ho Ge Bi
1 1 2
Cartesian
0.0000 0.0000 0.0000 Ho
2.4151 2.4151 0.0000 Ge
0.0000 2.4151 2.3187 Bi
2.4151 0.0000 2.3187 Bi
```


(3)
Density functional theory data (GGA-PBE) for a geometry-optimized Ho5Ge2Bi structure.

Results
density of states at the Fermi level = 9.2 states/eV/f.u.
symmetry = I4/mcm (140)
energy of formation = -5.81 eV per formula unit

POSCAR file:
```
Ho5Ge2Bi
1.0
-3.9632 3.9632 6.6966
3.9632 -3.9632 6.6966
3.9632 3.9632 -6.6966
Ho Ge Bi
10 4 2
Cartesian
0.0000 0.0000 0.0000 Ho
5.1660 1.2027 -1.8756 Ho
1.2027 2.7605 -1.8756 Ho
5.1660 1.2027 1.8756 Ho
1.2027 2.7605 1.8756 Ho
0.0000 0.0000 6.6966 Ho
2.7605 1.2027 4.8211 Ho
-1.2027 2.7605 4.8211 Ho
2.7605 1.2027 8.5722 Ho
-1.2027 2.7605 8.5722 Ho
2.7586 1.2046 0.0000 Ge
2.7586 -1.2046 6.6966 Ge
1.2046 5.1678 0.0000 Ge
1.2046 2.7586 6.6966 Ge
0.0000 0.0000 3.3483 Bi
0.0000 0.0000 10.0450 Bi
```


(4)
Density functional theory data (GGA-PBE) for a geometry-optimized Ho4GeBi2 structure.

Results
density of states at the Fermi level = 5.3 states/eV/f.u.
symmetry = P2_1/m (11)
energy of formation = -3.79 eV per formula unit

POSCAR file:
```
Ho4GeBi2
1.0
6.6759 0.0000 0.0000
0.0000 6.5847 0.0000
-3.0581 0.0000 9.2239
Ho Ge Bi
8 2 4
Cartesian
-0.7063 0.0227 2.3583 Ho
-0.7063 3.2697 2.3583 Ho
2.3750 4.9385 0.4963 Ho
0.9589 4.9385 5.9453 Ho
2.6589 1.6462 3.2786 Ho
1.2429 1.6462 8.7276 Ho
4.3242 3.3150 6.8656 Ho
4.3242 6.5620 6.8656 Ho
1.3849 4.9385 3.1315 Ge
2.2329 1.6462 6.0924 Ge
-0.4003 1.6462 5.0535 Bi
1.2362 1.6462 0.3537 Bi
2.3816 4.9385 8.8702 Bi
4.0181 4.9385 4.1704 Bi
```


(5)
Density functional theory data (GGA-PBE) for a geometry-optimized Ho4GeBi structure.

Results
density of states at the Fermi level = 7.2 states/eV/f.u.
symmetry = P2_1/m (11)
energy of formation = -1.73 eV per formula unit

POSCAR file:
```
Ho4GeBi
1.0
5.8878 0.0000 0.0000
0.0000 8.6362 0.0000
-2.0506 0.0000 7.4313
Ho Ge Bi
8 2 2
Cartesian
-0.3720 0.4223 1.7185 Ho
-0.3720 3.8958 1.7185 Ho
1.1537 6.4771 3.7528 Ho
0.6425 2.1590 7.3678 Ho
3.1947 6.4771 0.0635 Ho
2.6836 2.1590 3.6785 Ho
4.2092 4.7403 5.7128 Ho
4.2092 8.2139 5.7128 Ho
0.3256 6.4771 0.5630 Ge
3.5116 2.1590 6.8683 Ge
-0.2134 2.1590 4.3474 Bi
4.0506 6.4771 3.0839 Bi
```


(6)
Density functional theory data (GGA-PBE) for a geometry-optimized Ho6GeBi2 structure.

Results
density of states at the Fermi level = 9.7 states/eV/f.u.
symmetry = P2_1/c (14)
energy of formation = -4.73 eV per formula unit

POSCAR file:
```
Ho6GeBi2
1.0
6.3439 0.0000 0.0000
0.0000 8.1389 0.0000
-6.1849 0.0000 10.2219
Ho Ge Bi
12 2 4
Cartesian
-2.2705 1.5620 4.6563 Ho
-5.3629 2.5074 9.7673 Ho
-0.7648 5.4695 4.6667 Ho
-3.8573 6.7388 9.7777 Ho
0.8632 0.2594 2.4128 Ho
-2.2293 3.8100 7.5237 Ho
2.3883 4.3289 2.6982 Ho
-0.7042 7.8795 7.8091 Ho
4.0163 1.4001 0.4442 Ho
0.9239 2.6694 5.5551 Ho
5.5220 5.6315 0.4546 Ho
2.4295 6.5769 5.5655 Ho
0.0795 0.0000 5.1109 Ge
3.1720 4.0694 0.0000 Ge
-3.6674 0.9179 7.6199 Bi
-0.5749 3.1515 2.5090 Bi
0.7339 4.9874 7.7129 Bi
3.8264 7.2210 2.6020 Bi
```